# 1
Crystalline GaHF2 at its relaxed geometry, computed with GGA-PBE.

abc: 6.1153 6.1153 6.1153
angles: 25.11 25.11 25.11
With the nearest neighbours (Å) after each atom.
Sites, in units of the cell vectors:
F (0.1132, 0.1132, 0.1132)  3 H 1.81, 1 Ga 2.01
F (0.8868, 0.8868, 0.8868)  3 H 1.81, 1 Ga 2.01
H (0.5000, 0.5000, 0.5000)  6 F 1.81
Ga (0.0000, 0.0000, 0.0000)  2 F 2.01

The symmetry is No. 166. The calculation puts the density at 4982 kg/m3. Its energy above the lowest structure with this stoichiometry is 2.86 eV/f.u. As for the total energy: -3.42 eV per atom.

***

# 2
Crystalline GaHF2 at its relaxed geometry, computed with GGA-PBE.

abc: 4.9250 4.9250 4.9276
angles: 60.02 60.02 90.00
With the nearest neighbours (Å) after each atom.
Sites, in units of the cell vectors:
H (0.2500, 0.7500, 0.5000)  4 F 1.55
H (0.5000, 0.5000, 0.0000)  4 F 1.55
F (0.8750, 0.6961, 0.7500)  2 H 1.55
F (0.3750, 0.5539, 0.7500)  2 H 1.55
F (0.3039, 0.6250, 0.2500)  2 H 1.55
F (0.4461, 0.1250, 0.2500)  2 H 1.55
Ga (0.7500, 0.2500, 0.5000)  4 F 2.60
Ga (0.0000, 0.0000, 0.0000)  4 F 2.60

The symmetry is No. 122. The calculation puts the density at 4270 kg/m3. Its energy above the lowest structure with this stoichiometry is 2.05 eV/f.u. As for the total energy: -3.62 eV per atom.

***

# 3
Crystalline Ga2HF at its relaxed geometry, computed with GGA-PBE.

abc: 4.3363 4.3363 4.3363
angles: 60.00 60.00 60.00
With the nearest neighbours (Å) after each atom.
Sites, in units of the cell vectors:
F (0.5000, 0.5000, 0.5000)  8 Ga 2.66
Ga (0.7500, 0.7500, 0.7500)  4 H 2.66, 4 F 2.66
Ga (0.2500, 0.2500, 0.2500)  4 H 2.66, 4 F 2.66
H (0.0000, 0.0000, 0.0000)  8 Ga 2.66

The symmetry is No. 225. The calculation puts the density at 4592 kg/m3. Its energy above the lowest structure with this stoichiometry is 0.31 eV/f.u. As for the total energy: -3.18 eV per atom.